# 1
The following is a DFT calculation (PBE) of MgPd2Cl after structural relaxation.

Cell lengths 10.1032, 10.1032, 10.1032 Å; angles 158.03, 158.03, 31.27 degrees
Fractional positions:
Mg: 0.0000 0.0000 0.0000
Mg: 0.7500 0.2500 0.5000
Pd: 0.1207 0.6250 0.9957
Pd: 0.3750 0.3707 0.4957
Pd: 0.6293 0.1250 0.0043
Pd: 0.8750 0.8793 0.5043
Cl: 0.2500 0.7500 0.5000
Cl: 0.5000 0.5000 0.0000

Results
Its crystal system is tetragonal. The energy above the most stable polymorph in this dataset comes out at 0.0 meV per atom. As for the total energy: -3.714 eV/atom. Its formation energy from raw total energies is -257.7 meV/atom. The size of the total moment is 0.00 μB per formula unit.



# 2
The following is a DFT calculation (PBE) of MgPdCl2 after structural relaxation.

Cell lengths 7.0114, 7.0114, 7.0114 Å; angles 131.89, 131.89, 70.40 degrees
Fractional positions:
Mg: 0.0000 0.0000 0.0000
Mg: 0.7500 0.2500 0.5000
Pd: 0.2500 0.7500 0.5000
Pd: 0.5000 0.5000 0.0000
Cl: 0.0934 0.6250 0.9684
Cl: 0.3750 0.3434 0.4684
Cl: 0.6566 0.1250 0.0316
Cl: 0.8750 0.9066 0.5316

Results
Its crystal system is tetragonal. The energy above the most stable polymorph in this dataset comes out at 127.1 meV per atom. As for the total energy: -3.340 eV/atom. Its formation energy from raw total energies is -719.7 meV/atom. The size of the total moment is 0.00 μB per formula unit.